A relaxed LuZn2Cu crystal. Source: Alexandria via LeMat-Bulk, functional GGA-PBE.

abc: 4.059 4.059 4.306
angles: 90.00 90.00 90.00
Space group P4/mmm (No. 123)
Symmetry-distinct sites (fractional):
1 Lu 0.000 0.000 0.000 x1
2 Zn 0.000 0.500 0.500 x2
3 Cu 0.500 0.500 0.000 x1

Crystal system ... tetragonal
ΔE_f ... -0.60 eV per formula unit
Total energy ... -2.942 eV per atom
ρ ... 8.6 g cm⁻³